{
  "formula": "Nb2OsC",
  "functional": "PBE-GGA",
  "state": "relaxed",
  "mass_density_g_cm3": 11.4,
  "final_energy_ev_per_atom": -10.4151,
  "magnetic_moment_mub_per_cell": 0.00,
  "lattice": [[5.301, 0.000, 0.000], [0.000, 3.067, 0.000], [-1.788, 0.000, 6.964]],
  "species": ["Nb", "Nb", "Nb", "Nb", "Os", "Os", "C", "C"],
  "fractional_positions": [[0.229, 0.000, 0.184], [0.271, 0.500, 0.816], [0.729, 0.500, 0.184], [0.771, 0.000, 0.816], [0.000, 0.000, 0.500], [0.500, 0.500, 0.500], [0.000, 0.500, 0.000], [0.500, 0.000, 0.000]]
}